(1)
Y4BeCo3 | PBE | relaxed

Structure (POSCAR):
```
Y4BeCo3
1.0
3.888 0.000 0.000
0.000 4.012 0.000
0.000 0.000 10.446
Y Be Co
4 1 3
Direct
0.000 0.000 0.000
0.000 0.500 0.497
0.500 0.000 0.716
0.500 0.500 0.214
0.000 0.500 0.804
0.000 0.000 0.300
0.500 0.000 0.413
0.500 0.500 0.907
```

Values from the calculation:
Total DFT energy (no corrections) ... -6.523 eV per atom
Size of the total moment ... 1.02 μB per formula unit
Calculated formation energy ... -1.282 eV/f.u.
ρ ... 5.518 g/cm3
SG ... No. 25

(2)
YBe17Co | PBE | relaxed

Structure (POSCAR):
```
YBe17Co
1.0
3.743 2.161 3.624
-3.743 2.161 3.624
0.000 -4.322 3.624
Y Be Co
1 17 1
Direct
0.000 0.000 0.000
0.008 0.008 0.494
0.008 0.494 0.008
0.151 0.663 0.663
0.317 0.317 0.783
0.317 0.783 0.317
0.367 0.647 0.956
0.367 0.956 0.647
0.494 0.008 0.008
0.556 0.556 0.556
0.647 0.367 0.956
0.647 0.956 0.367
0.663 0.151 0.663
0.663 0.663 0.151
0.750 0.750 0.750
0.783 0.317 0.317
0.956 0.367 0.647
0.956 0.647 0.367
0.345 0.345 0.345
```

Values from the calculation:
Total DFT energy (no corrections) ... -4.096 eV per atom
Size of the total moment ... 0.00 μB per formula unit
Calculated formation energy ... -0.908 eV/f.u.
ρ ... 2.841 g/cm3
SG ... No. 160

> Number 2 is which compound?

YBe17Co